# 1
GGA-PBE Nd2Sn3Au2, relaxed; DFT total energy = -4.514 eV/atom; ΔE to the lowest computed polymorph = 149 meV/atom
1.0
7.232 0.000 1.669
0.000 3.520 0.000
1.288 0.000 7.647
Nd Sn Au
2 3 2
direct
0.405 0.500 0.770
0.595 0.500 0.230
0.187 0.000 0.535
0.000 0.000 0.000
0.813 0.000 0.465
0.294 0.000 0.143
0.706 0.000 0.857



# 2
GGA-PBE Rb2TlCoBr6, relaxed; DFT total energy = -3.114 eV/atom; ΔE to the lowest computed polymorph = 4 meV/atom
1.0
-3.419 1.900 6.757
0.475 -7.437 2.332
3.479 -1.756 6.765
Tl Co Br Rb
1 1 6 2
direct
0.000 0.000 0.000
0.500 0.500 0.000
0.279 0.279 0.442
0.721 0.721 0.558
0.279 0.279 0.000
0.721 0.721 0.000
0.721 0.279 0.000
0.279 0.721 0.000
0.750 0.250 0.500
0.250 0.750 0.500



# 3
GGA-PBE NdNiN, relaxed; DFT total energy = -6.695 eV/atom
1.0
3.646 0.000 0.000
0.000 3.670 0.000
0.000 -1.835 3.178
Ni Nd N
1 1 1
direct
0.168 0.333 0.667
0.668 0.667 0.333
0.165 0.000 0.000



# 4
GGA-PBE Zn2SnPb, relaxed; DFT total energy = -2.351 eV/atom; ΔE to the lowest computed polymorph = 73 meV/atom
1.0
-2.468 -3.518 6.597
1.488 -7.039 -3.198
2.434 -5.181 2.846
Pb Zn Sn
2 4 2
direct
0.000 0.000 0.000
0.750 0.250 0.500
0.610 0.125 0.250
0.140 0.625 0.250
0.375 0.390 0.750
0.875 0.860 0.750
0.500 0.500 0.000
0.250 0.750 0.500